Here is a relaxed Sm2YHoMg crystal from Alexandria via LeMat-Bulk. Energies are from PBE.

It has space group P2_1/m (No. 11), with a = 6.649 Å, b = 5.539 Å, c = 8.639 Å, α = 90.00°, β = 103.40° and γ = 90.00°. The asymmetric unit holds Sm at (0.038, 0.250, 0.354), Sm at (0.117, 0.750, 0.070), Y at (0.456, 0.250, 0.143), Ho at (0.376, 0.750, 0.442) and Mg at (0.263, 0.250, 0.747).

For the spin magnetization, the calculation gives 0.00 μB/f.u. The density of states at the Fermi level is 14.42 states/eV per cell. Its theoretical density is 6.21 g/cm³. The value obtained for the formation energy is 0.055 eV/f.u.

---

Here is a relaxed Ti2Nb7W2 crystal from Alexandria via LeMat-Bulk. Energies are from PBE.

It has space group C2/m (No. 12), with a = 8.614 Å, b = 9.395 Å, c = 5.284 Å, α = 90.00°, β = 109.49° and γ = 90.00°. The asymmetric unit holds Ti at (0.000, 0.236, 0.000), Nb at (0.000, 0.500, 0.500), Nb at (0.168, 0.242, 0.668), Nb at (0.235, 0.500, 0.018) and W at (0.086, 0.000, 0.335).

For the spin magnetization, the calculation gives 0.00 μB/f.u. The density of states at the Fermi level is 26.88 states/eV per cell. Its theoretical density is 9.18 g/cm³. The value obtained for the formation energy is 2.917 eV/f.u.

---

Here is a relaxed ZnAsIr2 crystal from Alexandria via LeMat-Bulk. Energies are from PBE.

It has space group I-42d (No. 122), with a = 5.739 Å, b = 5.739 Å, c = 10.331 Å, α = 90.00°, β = 90.00° and γ = 90.00°. The asymmetric unit holds Zn at (0.000, 0.000, 0.000), As at (0.000, 0.000, 0.500) and Ir at (0.232, 0.250, 0.625).

For the spin magnetization, the calculation gives 0.00 μB/f.u. The density of states at the Fermi level is 11.76 states/eV per cell. Its theoretical density is 10.25 g/cm³. The value obtained for the formation energy is 2.050 eV/f.u.

---

Here is a relaxed NdScPt crystal from Alexandria via LeMat-Bulk. Energies are from PBE.

It has space group P2_1/m (No. 11), with a = 5.365 Å, b = 4.915 Å, c = 6.068 Å, α = 90.00°, β = 106.03° and γ = 90.00°. The asymmetric unit holds Nd at (0.216, 0.250, 0.407), Sc at (0.331, 0.750, 0.017) and Pt at (0.127, 0.250, 0.868).

For the spin magnetization, the calculation gives 0.00 μB/f.u. The density of states at the Fermi level is 5.39 states/eV per cell. Its theoretical density is 8.30 g/cm³. The value obtained for the formation energy is -2.353 eV/f.u.

---

Here is a relaxed BeTlSn2Ge crystal from Alexandria via LeMat-Bulk. Energies are from PBE.

It has space group P4/mmm (No. 123), with a = 4.959 Å, b = 4.959 Å, c = 4.987 Å, α = 90.00°, β = 90.00° and γ = 90.00°. The asymmetric unit holds Be at (0.000, 0.000, 0.000), Tl at (0.000, 0.000, 0.500), Sn at (0.000, 0.500, 0.000) and Ge at (0.500, 0.500, 0.500).

For the spin magnetization, the calculation gives 0.00 μB/f.u. The density of states at the Fermi level is 3.28 states/eV per cell. Its theoretical density is 7.09 g/cm³. The value obtained for the formation energy is 2.285 eV/f.u.

---

Here is a relaxed Fe2Co2Pt crystal from Alexandria via LeMat-Bulk. Energies are from PBE.

It has space group P4/mbm (No. 127), with a = 6.739 Å, b = 6.739 Å, c = 2.750 Å, α = 90.00°, β = 90.00° and γ = 90.00°. The asymmetric unit holds Fe at (0.172, 0.328, 0.000), Co at (0.126, 0.626, 0.500) and Pt at (0.000, 0.000, 0.500).

For the spin magnetization, the calculation gives 8.90 μB/f.u. The density of states at the Fermi level is 11.52 states/eV per cell. Its theoretical density is 11.29 g/cm³. The value obtained for the formation energy is 0.194 eV/f.u.

---

Here is a relaxed NdAs2PdO8 crystal from Alexandria via LeMat-Bulk. Energies are from PBE.

It has space group I-4m2 (No. 119), with a = 7.304 Å, b = 7.304 Å, c = 6.399 Å, α = 90.00°, β = 90.00° and γ = 90.00°. The asymmetric unit holds Nd at (0.000, 0.000, 0.000), As at (0.000, 0.000, 0.500), As at (0.000, 0.500, 0.750), Pd at (0.000, 0.500, 0.250), O at (0.000, 0.180, 0.323) and O at (0.000, 0.324, 0.929).

For the spin magnetization, the calculation gives 3.01 μB/f.u. The calculation puts the formation energy from raw total energies at -1.3281 eV per atom. The density of states at the Fermi level is 8.93 states/eV per cell. Its theoretical density is 5.14 g/cm³.

---

Here is a relaxed Zn2AgPt crystal from Alexandria via LeMat-Bulk. Energies are from PBE.

It has space group P4mm (No. 99), with a = 3.335 Å, b = 3.335 Å, c = 5.662 Å, α = 90.00°, β = 90.00° and γ = 90.00°. The asymmetric unit holds Zn at (0.000, 0.000, 0.000), Zn at (0.500, 0.500, 0.267), Ag at (0.000, 0.000, 0.499) and Pt at (0.500, 0.500, 0.800).

For the spin magnetization, the calculation gives 0.00 μB/f.u. The density of states at the Fermi level is 1.44 states/eV per cell. Its theoretical density is 11.44 g/cm³. The value obtained for the formation energy is -0.738 eV/f.u.

---

Here is a relaxed NbSnMo3 crystal from Alexandria via LeMat-Bulk. Energies are from PBE.

It has space group Pm-3m (No. 221), with a = 4.787 Å, b = 4.787 Å, c = 4.787 Å, α = 90.00°, β = 90.00° and γ = 90.00°. The asymmetric unit holds Nb at (0.000, 0.000, 0.000), Sn at (0.500, 0.500, 0.500) and Mo at (0.000, 0.000, 0.500).

For the spin magnetization, the calculation gives 1.31 μB/f.u. The density of states at the Fermi level is 7.65 states/eV per cell. Its theoretical density is 7.56 g/cm³. The value obtained for the formation energy is 8.294 eV/f.u.

---

Here is a relaxed ErCd5Hg8 crystal from Alexandria via LeMat-Bulk. Energies are from PBE.

It has space group I-4 (No. 82), with a = 8.891 Å, b = 8.891 Å, c = 8.832 Å, α = 90.00°, β = 90.00° and γ = 90.00°. The asymmetric unit holds Er at (0.000, 0.000, 0.000), Cd at (0.000, 0.500, 0.750), Cd at (0.131, 0.728, 0.363), Hg at (0.066, 0.834, 0.689) and Hg at (0.094, 0.667, 0.034).

For the spin magnetization, the calculation gives 0.00 μB/f.u. The density of states at the Fermi level is 9.61 states/eV per cell. Its theoretical density is 11.10 g/cm³. The value obtained for the formation energy is -0.636 eV/f.u.

---

Here is a relaxed Si3WI crystal from Alexandria via LeMat-Bulk. Energies are from PBE.

It has space group Pm-3m (No. 221), with a = 4.894 Å, b = 4.894 Å, c = 4.894 Å, α = 90.00°, β = 90.00° and γ = 90.00°. The asymmetric unit holds Si at (0.000, 0.000, 0.500), W at (0.000, 0.000, 0.000) and I at (0.500, 0.500, 0.500).

For the spin magnetization, the calculation gives 0.91 μB/f.u. The calculation puts the formation energy from raw total energies at 0.6074 eV per atom. The density of states at the Fermi level is 5.04 states/eV per cell. Its theoretical density is 5.60 g/cm³.

---

Here is a relaxed LiSiW2 crystal from Alexandria via LeMat-Bulk. Energies are from PBE.

It has space group P4mm (No. 99), with a = 3.241 Å, b = 3.241 Å, c = 5.584 Å, α = 90.00°, β = 90.00° and γ = 90.00°. The asymmetric unit holds Li at (0.000, 0.000, 0.000), Si at (0.500, 0.500, 0.217), W at (0.000, 0.000, 0.493) and W at (0.500, 0.500, 0.728).

For the spin magnetization, the calculation gives 0.00 μB/f.u. The calculation puts the formation energy from raw total energies at 0.1341 eV per atom. The density of states at the Fermi level is 2.46 states/eV per cell. Its theoretical density is 11.40 g/cm³.

---

Here is a relaxed NbBi4ClO8 crystal from Alexandria via LeMat-Bulk. Energies are from PBE.

It has space group Pbcn (No. 60), with a = 5.553 Å, b = 5.625 Å, c = 29.318 Å, α = 90.00°, β = 90.00° and γ = 90.00°. The asymmetric unit holds Nb at (0.000, 0.016, 0.250), Bi at (0.010, 0.009, 0.568), Bi at (0.021, 0.450, 0.343), Cl at (0.000, 0.500, 0.000), O at (0.109, 0.084, 0.314), O at (0.245, 0.243, 0.107), O at (0.249, 0.247, 0.895) and O at (0.249, 0.308, 0.233).

For the spin magnetization, the calculation gives 0.00 μB/f.u. The calculation puts the formation energy from raw total energies at -1.6081 eV per atom. Its theoretical density is 7.92 g/cm³.

---

Here is a relaxed EuTl2Pt crystal from Alexandria via LeMat-Bulk. Energies are from PBE.

It has space group P4/mmm (No. 123), with a = 4.448 Å, b = 4.448 Å, c = 5.088 Å, α = 90.00°, β = 90.00° and γ = 90.00°. The asymmetric unit holds Eu at (0.000, 0.000, 0.000), Tl at (0.000, 0.500, 0.500) and Pt at (0.500, 0.500, 0.000).

For the spin magnetization, the calculation gives 7.07 μB/f.u. The density of states at the Fermi level is 10.57 states/eV per cell. Its theoretical density is 12.47 g/cm³. The value obtained for the formation energy is -1.296 eV/f.u.

---

Here is a relaxed TeIrBr crystal from Alexandria via LeMat-Bulk. Energies are from PBE.

It has space group P2_1/c (No. 14), with a = 7.224 Å, b = 6.262 Å, c = 7.046 Å, α = 90.00°, β = 111.58° and γ = 90.00°. The asymmetric unit holds Te at (0.137, 0.112, 0.370), Ir at (0.229, 0.018, 0.758) and Br at (0.392, 0.667, 0.616).

For the spin magnetization, the calculation gives 0.00 μB/f.u. The calculation puts the formation energy from raw total energies at -0.0536 eV per atom. The density of states at the Fermi level is 1.33 states/eV per cell. Its theoretical density is 8.96 g/cm³.

---

Here is a relaxed NaSr2CaSe crystal from Alexandria via LeMat-Bulk. Energies are from PBE.

It has space group P4/mmm (No. 123), with a = 6.154 Å, b = 6.154 Å, c = 5.732 Å, α = 90.00°, β = 90.00° and γ = 90.00°. The asymmetric unit holds Na at (0.000, 0.000, 0.000), Sr at (0.000, 0.500, 0.500), Ca at (0.500, 0.500, 0.000) and Se at (0.500, 0.500, 0.500).

For the spin magnetization, the calculation gives 0.00 μB/f.u. The calculation puts the formation energy from raw total energies at -0.6497 eV per atom. The density of states at the Fermi level is 4.84 states/eV per cell. Its theoretical density is 2.43 g/cm³.

---

Here is a relaxed La6Hg3C crystal from Alexandria via LeMat-Bulk. Energies are from PBE.

It has space group P2_1/c (No. 14), with a = 6.818 Å, b = 8.555 Å, c = 12.257 Å, α = 90.00°, β = 119.37° and γ = 90.00°. The asymmetric unit holds La at (0.079, 0.052, 0.223), La at (0.178, 0.722, 0.063), La at (0.376, 0.146, 0.052), Hg at (0.319, 0.109, 0.736), Hg at (0.500, 0.000, 0.500) and C at (0.000, 0.000, 0.000).

For the spin magnetization, the calculation gives 0.00 μB/f.u. The density of states at the Fermi level is 23.54 states/eV per cell. Its theoretical density is 7.71 g/cm³. The value obtained for the formation energy is -3.013 eV/f.u.

---

Here is a relaxed LaPdSe2Cl crystal from Alexandria via LeMat-Bulk. Energies are from PBE.

It has space group P4/mmm (No. 123), with a = 4.871 Å, b = 4.871 Å, c = 5.648 Å, α = 90.00°, β = 90.00° and γ = 90.00°. The asymmetric unit holds La at (0.000, 0.000, 0.000), Pd at (0.000, 0.000, 0.500), Se at (0.000, 0.500, 0.500) and Cl at (0.500, 0.500, 0.000).

For the spin magnetization, the calculation gives 0.00 μB/f.u. The calculation puts the formation energy from raw total energies at -0.7269 eV per atom. The density of states at the Fermi level is 3.13 states/eV per cell. Its theoretical density is 5.43 g/cm³.

---

Here is a relaxed Li2Ce3S2O5 crystal from Alexandria via LeMat-Bulk. Energies are from PBE.

It has space group I4/mmm (No. 139), with a = 3.767 Å, b = 3.767 Å, c = 22.327 Å, α = 90.00°, β = 90.00° and γ = 90.00°. The asymmetric unit holds Li at (0.000, 0.000, 0.083), Ce at (0.000, 0.000, 0.346), Ce at (0.000, 0.000, 0.500), S at (0.000, 0.000, 0.209), O at (0.000, 0.000, 0.000) and O at (0.000, 0.500, 0.093).

For the spin magnetization, the calculation gives 0.41 μB/f.u. The calculation puts the formation energy from raw total energies at -2.4159 eV per atom. The density of states at the Fermi level is 15.36 states/eV per cell. Its theoretical density is 6.06 g/cm³.

---

Here is a relaxed Tb7Dy3Er crystal from Alexandria via LeMat-Bulk. Energies are from PBE.

It has space group C2/m (No. 12), with a = 12.554 Å, b = 11.116 Å, c = 5.789 Å, α = 90.00°, β = 117.38° and γ = 90.00°. The asymmetric unit holds Tb at (0.000, 0.000, 0.000), Tb at (0.197, 0.295, 0.696), Tb at (0.209, 0.500, 0.207), Dy at (0.000, 0.293, 0.000), Dy at (0.000, 0.500, 0.500) and Er at (0.000, 0.000, 0.500).

For the spin magnetization, the calculation gives 0.33 μB/f.u. The density of states at the Fermi level is 32.52 states/eV per cell. Its theoretical density is 8.18 g/cm³. The value obtained for the formation energy is 2.929 eV/f.u.

---

Here is a relaxed CaMn2Pt crystal from Alexandria via LeMat-Bulk. Energies are from PBE.

It has space group F222 (No. 22), with a = 6.549 Å, b = 6.646 Å, c = 6.766 Å, α = 90.00°, β = 90.00° and γ = 90.00°. The asymmetric unit holds Ca at (0.000, 0.000, 0.000), Mn at (0.000, 0.000, 0.500), Mn at (0.250, 0.250, 0.750) and Pt at (0.250, 0.250, 0.250).

For the spin magnetization, the calculation gives 8.20 μB/f.u. The density of states at the Fermi level is 7.97 states/eV per cell. Its theoretical density is 7.78 g/cm³. The value obtained for the formation energy is 0.361 eV/f.u.

---

Here is a relaxed TmMnCdIn crystal from Alexandria via LeMat-Bulk. Energies are from PBE.

It has space group F-43m (No. 216), with a = 7.002 Å, b = 7.002 Å, c = 7.002 Å, α = 90.00°, β = 90.00° and γ = 90.00°. The asymmetric unit holds Tm at (0.000, 0.000, 0.000), Mn at (0.000, 0.000, 0.500), Cd at (0.250, 0.250, 0.750) and In at (0.250, 0.250, 0.250).

For the spin magnetization, the calculation gives 3.49 μB/f.u. The density of states at the Fermi level is 13.75 states/eV per cell. Its theoretical density is 8.73 g/cm³. The value obtained for the formation energy is -0.165 eV/f.u.